1.
The following is a PBE-GGA calculation of a geometry-optimized CaTiCuW2 structure, from the Alexandria database.

The space group is P4/mmm (No. 123) and the conventional cell measures 4.630, 4.630 and 4.945 Å, with angles of 90.00, 90.00 and 90.00 degrees. The asymmetric unit holds Ca at (0.000, 0.000, 0.000), Ti at (0.500, 0.500, 0.500), Cu at (0.500, 0.500, 0.000) and W at (0.000, 0.500, 0.500).

The raw total energy comes out at -6.684 eV per atom. The formation energy is 6.48 eV/f.u. The total magnetization is 0.00 μB/f.u.



2.
The following is a PBE-GGA calculation of a geometry-optimized CoCu2Os structure, from the Alexandria database.

The space group is Cmmm (No. 65) and the conventional cell measures 5.129, 7.766 and 2.526 Å, with angles of 90.00, 90.00 and 90.00 degrees. The asymmetric unit holds Co at (0.000, 0.000, 0.000), Cu at (0.250, 0.250, 0.500) and Os at (0.000, 0.500, 0.000).

Its offset from the most stable computed form is 60 kJ/mol of formula units. The raw total energy comes out at -6.303 eV per atom. The formation energy is 1.31 eV/f.u. The total magnetization is 2.33 μB/f.u.



3.
The following is a PBE-GGA calculation of a geometry-optimized Ta5TiOs6 structure, from the Alexandria database.

The space group is Immm (No. 71) and the conventional cell measures 4.363, 6.798 and 12.936 Å, with angles of 90.00, 90.00 and 90.00 degrees. The asymmetric unit holds Ta at (0.000, 0.000, 0.000), Ta at (0.000, 0.000, 0.324), Ta at (0.000, 0.500, 0.348), Ti at (0.000, 0.500, 0.000), Os at (0.000, 0.223, 0.500) and Os at (0.000, 0.266, 0.166).

The raw total energy comes out at -11.567 eV per atom. The formation energy is -4.27 eV/f.u. The total magnetization is 0.00 μB/f.u.



4.
The following is a PBE-GGA calculation of a geometry-optimized LiZnNi4 structure, from the Alexandria database.

The space group is Fddd (No. 70, origin choice 2) and the conventional cell measures 5.003, 7.211 and 15.100 Å, with angles of 90.00, 90.00 and 90.00 degrees. The asymmetric unit holds Li at (0.125, 0.125, 0.125), Zn at (0.125, 0.125, 0.625), Ni at (0.125, 0.125, 0.290) and Ni at (0.125, 0.125, 0.460).

Its offset from the most stable computed form is 0 kJ/mol of formula units. The raw total energy comes out at -4.444 eV per atom. The formation energy is -0.35 eV/f.u. The total magnetization is 1.25 μB/f.u.



5.
The following is a PBE-GGA calculation of a geometry-optimized MgBr2F structure, from the Alexandria database.

The space group is Fm-3m (No. 225) and the conventional cell measures 6.746, 6.746 and 6.746 Å, with angles of 90.00, 90.00 and 90.00 degrees. The asymmetric unit holds Mg at (0.000, 0.000, 0.000), Br at (0.250, 0.250, 0.250) and F at (0.000, 0.000, 0.500).

Its offset from the most stable computed form is 79 kJ/mol of formula units. The uncorrected formation energy comes out at -0.848 eV/atom. The raw total energy comes out at -2.551 eV per atom. The total magnetization is 0.96 μB/f.u.



6.
The following is a PBE-GGA calculation of a geometry-optimized Er2Mo2C3 structure, from the Alexandria database.

The space group is C2/m (No. 12) and the conventional cell measures 11.287, 3.374 and 5.670 Å, with angles of 90.00, 108.25 and 90.00 degrees. The asymmetric unit holds Er at (0.114, 0.000, 0.320), Mo at (0.149, 0.500, 0.871), C at (0.000, 0.500, 0.000) and C at (0.229, 0.000, 0.755).

Its offset from the most stable computed form is 22 kJ/mol of formula units. The raw total energy comes out at -8.702 eV per atom. The formation energy is -2.45 eV/f.u. The total magnetization is 0.00 μB/f.u.



7.
The following is a PBE-GGA calculation of a geometry-optimized BaAgPd4 structure, from the Alexandria database.

The space group is Pmma (No. 51) and the conventional cell measures 8.010, 4.233 and 7.499 Å, with angles of 90.00, 90.00 and 90.00 degrees. The asymmetric unit holds Ba at (0.250, 0.000, 0.144), Ag at (0.250, 0.000, 0.733), Pd at (0.000, 0.000, 0.500), Pd at (0.035, 0.500, 0.763) and Pd at (0.250, 0.500, 0.468).

Its offset from the most stable computed form is 60 kJ/mol of formula units. The raw total energy comes out at -4.377 eV per atom. The formation energy is -0.72 eV/f.u. The total magnetization is 0.00 μB/f.u.